# 1
Crystalline RbLiPdF6 at its relaxed geometry. Source: Alexandria via LeMat-Bulk, functional PBE-GGA.

Lattice parameters (Å, degrees): 5.3434 5.3434 6.1972 90.00 90.00 120.00
Element x y z (fractional)
1 Rb 0.0000 0.0000 0.0000
2 Li 0.3333 0.6667 0.5000
3 Pd 0.6667 0.3333 0.5000
4 F 0.3764 0.0196 0.6772
5 F 0.3764 0.3568 0.3228
6 F 0.6432 0.0196 0.3228
7 F 0.6432 0.6236 0.6772
8 F 0.9804 0.3568 0.6772
9 F 0.9804 0.6236 0.3228

The calculation puts the formation energy without anion corrections at -2.09 eV per atom. The calculation puts the volume at 17.03 Å³/atom. The calculation puts the total energy at -4.239 eV/atom.

# 2
Crystalline HoMn3Ge3 at its relaxed geometry. Source: Alexandria via LeMat-Bulk, functional PBE-GGA.

Lattice parameters (Å, degrees): 7.9371 7.9371 7.9371 60.00 60.00 60.00
Element x y z (fractional)
1 Ho 0.2500 0.2500 0.2500
2 Ho 0.7500 0.7500 0.7500
3 Mn 0.1392 0.1392 0.8608
4 Mn 0.1392 0.8608 0.1392
5 Mn 0.1392 0.8608 0.8608
6 Mn 0.8608 0.1392 0.1392
7 Mn 0.8608 0.1392 0.8608
8 Mn 0.8608 0.8608 0.1392
9 Ge 0.3384 0.3384 0.6616
10 Ge 0.3384 0.6616 0.3384
11 Ge 0.3384 0.6616 0.6616
12 Ge 0.6616 0.3384 0.3384
13 Ge 0.6616 0.3384 0.6616
14 Ge 0.6616 0.6616 0.3384

Its energy of formation is 6.372 eV/f.u. The energy above the lowest structure with this stoichiometry is 1128.4 meV/atom. The calculation puts the volume at 25.25 Å³/atom. The calculation puts the total energy at -5.652 eV/atom.